Entry 1:
Computed, not measured: crystalline HfTa3Cr at its relaxed geometry at the GGA-PBEsol level of DFT.

DOS(E_F) (states/eV/f.u.): 7.5
Raw total energy (eV per atom): -9.48

Cell: 4.8271 4.8271 4.8271 Å, 90.00 90.00 90.00°
Last column: magnetic moment on the atom in μB.
Fractional coordinates of all 5 atoms:
Cr1 0.5000 0.5000 0.5000  3.67
Hf1 0.0000 0.0000 0.0000  -0.03
Ta1 0.0000 0.5000 0.0000  -0.18
Ta2 0.0000 0.0000 0.5000  -0.18
Ta3 0.5000 0.0000 0.0000  -0.18

***

Entry 2:
Computed, not measured: crystalline HfCrTc3 at its relaxed geometry at the GGA-PBEsol level of DFT.

DOS(E_F) (states/eV/f.u.): 6.9
Raw total energy (eV per atom): -8.78

Cell: 4.6336 4.6336 4.6336 Å, 90.00 90.00 90.00°
Last column: magnetic moment on the atom in μB.
Fractional coordinates of all 5 atoms:
Cr1 0.5000 0.5000 0.5000  3.62
Hf1 0.0000 0.0000 0.0000  0.05
Tc1 0.0000 0.5000 0.0000  -0.60
Tc2 0.0000 0.0000 0.5000  -0.60
Tc3 0.5000 0.0000 0.0000  -0.60

***

Entry 3:
Computed, not measured: crystalline HfCr3Tc at its relaxed geometry at the GGA-PBEsol level of DFT.

DOS(E_F) (states/eV/f.u.): 5.0
Raw total energy (eV per atom): -9.33

Cell: 4.3750 4.3750 4.3750 Å, 90.00 90.00 90.00°
Last column: magnetic moment on the atom in μB.
Fractional coordinates of all 5 atoms:
Cr1 0.0000 0.5000 0.0000  1.15
Cr2 0.0000 0.0000 0.5000  1.15
Cr3 0.5000 0.0000 0.0000  1.15
Hf1 0.5000 0.5000 0.5000  -0.13
Tc1 0.0000 0.0000 0.0000  -0.25

***

Entry 4:
Computed, not measured: crystalline HfCr3Te at its relaxed geometry at the GGA-PBEsol level of DFT.

DOS(E_F) (states/eV/f.u.): 5.8
Raw total energy (eV per atom): -7.52
ΔE_f (raw) (eV/atom): 1.4357

Cell: 4.6616 4.6616 4.6616 Å, 90.00 90.00 90.00°
Last column: magnetic moment on the atom in μB.
Fractional coordinates of all 5 atoms:
Cr1 0.0000 0.5000 0.0000  2.31
Cr2 0.0000 0.0000 0.5000  2.31
Cr3 0.5000 0.0000 0.0000  2.31
Te1 0.0000 0.0000 0.0000  -0.10
Hf1 0.5000 0.5000 0.5000  -0.52